Record 1
## Tm6Ni2Pt (PBE)

Data for Tm6Ni2Pt after structural relaxation.

Summary:
For the formation energy, the calculation gives -0.54 eV/atom. For the offset from the most stable computed form, the calculation gives 0.0000 eV per atom.

Cell: 8.102 8.102 8.102 Å, 108.15 109.75 110.52°
Fractional coordinates of all 18 atoms:
Tm1 0.693 0.022 0.329
Tm2 0.093 0.270 0.823
Tm3 0.693 0.364 0.671
Tm4 0.553 0.730 0.823
Tm5 0.307 0.636 0.329
Tm6 0.307 0.978 0.671
Tm7 0.187 0.250 0.437
Tm8 0.447 0.270 0.177
Tm9 0.187 0.750 0.937
Tm10 0.813 0.750 0.563
Tm11 0.813 0.250 0.063
Tm12 0.907 0.730 0.177
Ni1 0.343 0.000 0.343
Ni2 0.500 0.621 0.121
Ni3 0.657 0.000 0.657
Ni4 0.500 0.379 0.879
Pt1 0.000 0.000 0.000
Pt2 0.000 0.500 0.500



Record 2
## YAl3Cu (PBE)

Data for YAl3Cu after structural relaxation.

Summary:
For the formation energy, the calculation gives 1.44 eV/atom.

Cell: 5.507 5.507 5.507 Å, 90.00 90.00 90.00°
Fractional coordinates of all 5 atoms:
Al1 0.500 0.000 0.000
Al2 0.000 0.500 0.000
Al3 0.000 0.000 0.500
Cu1 0.500 0.500 0.500
Y1 0.000 0.000 0.000



Record 3
## Zr5In4Cu (PBE)

Data for Zr5In4Cu after structural relaxation.

Summary:
For the formation energy, the calculation gives -0.27 eV/atom.

Cell: 3.147 3.147 21.501 Å, 90.00 90.00 90.00°
Fractional coordinates of all 10 atoms:
Cu1 0.000 0.000 0.000
In1 0.000 0.000 0.396
In2 0.000 0.000 0.188
In3 0.000 0.000 0.812
In4 0.000 0.000 0.604
Zr1 0.500 0.500 0.917
Zr2 0.500 0.500 0.291
Zr3 0.500 0.500 0.500
Zr4 0.500 0.500 0.083
Zr5 0.500 0.500 0.709



Record 4
## PmHoMgZn (PBE)

Data for PmHoMgZn after structural relaxation.

Summary:
For the formation energy, the calculation gives -0.21 eV/atom. For the offset from the most stable computed form, the calculation gives 0.0000 eV per atom.

Cell: 3.625 3.625 7.819 Å, 90.00 90.00 90.00°
Fractional coordinates of all 4 atoms:
Mg1 0.500 0.500 0.596
Ho1 0.000 0.000 0.329
Pm1 0.000 0.000 0.881
Zn1 0.500 0.500 0.121



Record 5
## Er7AlZn4 (PBE)

Data for Er7AlZn4 after structural relaxation.

Summary:
For the formation energy, the calculation gives -0.10 eV/atom.

Cell: 5.441 8.817 7.658 Å, 61.74 69.19 72.03°
Fractional coordinates of all 12 atoms:
Zn1 0.514 0.332 0.639
Zn2 0.694 0.684 0.928
Zn3 0.306 0.316 0.072
Zn4 0.486 0.668 0.361
Er1 0.078 0.606 0.239
Er2 0.922 0.394 0.761
Er3 0.168 0.117 0.546
Er4 0.832 0.883 0.454
Er5 0.289 0.665 0.756
Er6 0.711 0.335 0.244
Er7 0.500 0.000 0.000
Al1 0.000 0.000 0.000



Record 6
## SrCoCl (PBE)

Data for SrCoCl after structural relaxation.

Summary:
For the formation energy from raw total energies, the calculation gives -987 meV per atom.

Cell: 4.025 4.025 11.803 Å, 89.80 80.01 60.00°
Fractional coordinates of all 6 atoms:
Sr1 0.138 0.525 0.821
Sr2 0.411 0.392 0.414
Co1 0.942 0.125 0.617
Co2 0.608 0.792 0.618
Cl1 0.840 0.679 0.271
Cl2 0.709 0.238 0.964



Record 7
## InSi2P (PBE)

Data for InSi2P after structural relaxation.

Summary:
For the offset from the most stable computed form, the calculation gives 0.3461 eV per atom. For the formation energy from raw total energies, the calculation gives 469 meV per atom.

Cell: 3.056 3.056 8.740 Å, 90.00 90.00 113.11°
Fractional coordinates of all 4 atoms:
P1 0.500 0.500 0.809
In1 0.000 0.000 0.496
Si1 0.000 0.000 0.991
Si2 0.500 0.500 0.205



Record 8
## Pm4ScHg (PBE)

Data for Pm4ScHg after structural relaxation.

Summary:
For the formation energy, the calculation gives -0.13 eV/atom. For the offset from the most stable computed form, the calculation gives 0.0000 eV per atom.

Cell: 3.646 3.646 13.741 Å, 89.99 89.99 90.00°
Fractional coordinates of all 6 atoms:
Sc1 0.000 0.000 0.000
Pm1 0.500 0.500 0.835
Pm2 0.000 0.000 0.350
Pm3 0.000 0.000 0.650
Pm4 0.500 0.500 0.165
Hg1 0.500 0.500 0.500



no.,total magnetization (Bohr magnetons per cell)
1,0.0
2,0.0
3,0.0
4,0.0
5,0.0
6,2.0
7,0.0
8,0.0